[1]
Compound: LaMgRe2
Source: Alexandria
Functional: PBE-GGA
Structure: relaxed

Unit cell a=5.996 b=9.463 c=2.722 alpha=90.00 beta=90.00 gamma=90.00
Fractional coordinates of all 8 atoms:
La  0.000  0.000  0.000
La  0.500  0.500  0.000
Mg  0.000  0.500  0.000
Mg  0.500  0.000  0.000
Re  0.250  0.250  0.500
Re  0.250  0.750  0.500
Re  0.750  0.250  0.500
Re  0.750  0.750  0.500

## Properties
Fermi-level density of states (states/eV per cell): 8.40
M_tot (μB per formula unit): 0.073
Formation energy (meV per atom): 762.2


[2]
Compound: LaMg3Re
Source: Alexandria
Functional: PBE-GGA
Structure: relaxed

Unit cell a=5.096 b=5.096 c=5.096 alpha=90.00 beta=90.00 gamma=90.00
Fractional coordinates of all 5 atoms:
La  0.000  0.000  0.000
Mg  0.000  0.500  0.500
Mg  0.500  0.000  0.500
Mg  0.500  0.500  0.000
Re  0.500  0.500  0.500

## Properties
Fermi-level density of states (states/eV per cell): 2.95
M_tot (μB per formula unit): 0.000
Formation energy (meV per atom): 513.0


[3]
Compound: La2MgRe
Source: Alexandria
Functional: PBE-GGA
Structure: relaxed

Unit cell a=7.878 b=3.451 c=8.974 alpha=90.00 beta=97.67 gamma=90.00
Fractional coordinates of all 8 atoms:
La  0.240  0.000  0.190
La  0.260  0.500  0.810
La  0.740  0.500  0.190
La  0.760  0.000  0.810
Mg  0.000  0.000  0.500
Mg  0.500  0.500  0.500
Re  0.000  0.500  0.000
Re  0.500  0.000  0.000

## Properties
Fermi-level density of states (states/eV per cell): 6.92
M_tot (μB per formula unit): 0.000
Formation energy (meV per atom): 363.5